A plane-wave DFT calculation with GGA+U was carried out for a geometry-optimized CrNO structure.

abc: 5.3510 5.3510 5.3510
angles: 33.87 33.87 33.87
Closest atoms and distances in Å follow each position.
Element x y z (fractional)
Cr1 0.0000 0.0000 0.0000  1 O 1.61
N1 0.6296 0.6296 0.6296  3 Cr 1.88
O1 0.1066 0.1066 0.1066  1 Cr 1.61

Properties
The relative energy among the computed polymorphs comes out at 2.81 eV per formula unit. The calculation puts the final energy at -20.815 eV per cell. For the density of states at the Fermi level, the calculation gives 1.7 states/eV/cell. The space group is R3m, No. 160.